[1]
Density functional theory data (PBE) for an optimized crystal structure of K4PrTm3Se8.

Lattice parameters (Å, degrees): 8.439 9.101 8.440 117.64 120.00 90.00
Atoms (fractional coordinates):
Se1 0.734 0.701 0.468
K1 0.000 0.000 0.500
Se2 0.759 0.294 0.518
K2 0.500 0.000 0.000
K3 0.000 0.000 0.000
Se3 0.241 0.706 0.482
Pr1 0.000 0.500 0.000
K4 0.500 0.000 0.500
Se4 0.724 0.706 0.965
Se5 0.276 0.294 0.035
Se6 0.241 0.706 0.965
Tm1 0.500 0.500 0.000
Tm2 0.000 0.500 0.500
Se7 0.759 0.294 0.035
Se8 0.266 0.299 0.532
Tm3 0.500 0.500 0.500

---

[2]
Density functional theory data (PBE) for an optimized crystal structure of K2PrTmSe4.

Lattice parameters (Å, degrees): 4.274 7.406 8.083 107.76 90.00 90.00
Atoms (fractional coordinates):
K1 0.500 0.000 0.500
Se1 0.000 0.252 0.790
Tm1 0.000 0.000 0.000
Se2 0.500 0.776 0.795
Se3 0.500 0.224 0.205
Se4 0.000 0.748 0.210
Pr1 0.500 0.500 0.000
K2 0.000 0.500 0.500

---

[3]
Density functional theory data (PBE) for an optimized crystal structure of K2PrUSe4.

Lattice parameters (Å, degrees): 4.311 7.461 8.113 107.89 90.00 90.00
Atoms (fractional coordinates):
K1 0.000 0.500 0.500
Pr1 0.500 0.500 0.000
Se1 0.000 0.745 0.213
Se2 0.000 0.255 0.787
Se3 0.500 0.772 0.792
U1 0.000 0.000 0.000
K2 0.500 0.000 0.500
Se4 0.500 0.228 0.208

---

[4]
Density functional theory data (PBE) for an optimized crystal structure of K3Pr3USe8.

Lattice parameters (Å, degrees): 8.659 8.659 9.273 117.84 90.00 120.00
Atoms (fractional coordinates):
Se1 0.749 0.975 0.702
Se2 0.263 0.525 0.288
K1 0.000 0.000 0.000
Se3 0.227 0.453 0.702
K2 0.500 0.500 0.000
Se4 0.773 0.547 0.298
K3 0.000 0.500 0.000
Pr1 0.500 0.500 0.500
Se5 0.251 0.025 0.298
Se6 0.773 0.025 0.298
U1 0.000 0.000 0.500
Se7 0.737 0.475 0.712
Se8 0.227 0.975 0.702
Pr2 0.500 0.000 0.500
Pr3 0.000 0.500 0.500

---

[5]
Density functional theory data (PBE) for an optimized crystal structure of K3PrU2Se6.

Lattice parameters (Å, degrees): 7.400 7.400 8.121 98.74 98.74 120.00
Atoms (fractional coordinates):
K1 0.500 0.500 0.500
Pr1 0.000 0.000 0.000
K2 0.165 0.835 0.500
Se1 0.070 0.413 0.210
U1 0.333 0.667 0.000
Se2 0.413 0.070 0.210
Se3 0.273 0.273 0.790
Se4 0.930 0.587 0.790
Se5 0.727 0.727 0.210
K3 0.835 0.165 0.500
Se6 0.587 0.930 0.790
U2 0.667 0.333 0.000

---

[6]
Density functional theory data (PBE) for an optimized crystal structure of K3Pr2USe6.

Lattice parameters (Å, degrees): 7.515 7.515 8.120 98.87 98.87 120.00
Atoms (fractional coordinates):
Se1 0.070 0.396 0.212
Pr1 0.666 0.334 0.000
Se2 0.745 0.745 0.212
K1 0.832 0.168 0.500
K2 0.168 0.832 0.500
Se3 0.255 0.255 0.788
U1 0.000 0.000 0.000
Se4 0.396 0.070 0.212
Se5 0.930 0.604 0.788
Se6 0.604 0.930 0.788
K3 0.500 0.500 0.500
Pr2 0.334 0.666 0.000

---

[7]
Density functional theory data (PBE) for an optimized crystal structure of KPr2USe5.

Lattice parameters (Å, degrees): 5.294 7.550 8.663 115.83 107.79 90.00
Atoms (fractional coordinates):
Se1 0.650 0.389 0.300
K1 0.000 0.500 0.000
Pr1 0.203 0.203 0.406
Se2 0.350 0.089 0.700
U1 0.500 0.000 0.000
Se3 0.650 0.911 0.300
Se4 0.350 0.611 0.700
Pr2 0.797 0.797 0.594
Se5 0.000 0.000 0.000

---

[8]
Density functional theory data (PBE) for an optimized crystal structure of KPrY4Se8.

Lattice parameters (Å, degrees): 8.586 8.586 8.719 60.51 60.51 60.00
Atoms (fractional coordinates):
Se1 0.233 0.233 0.300
Se2 0.241 0.793 0.724
Se3 0.758 0.758 0.727
Y1 0.005 0.486 0.505
Pr1 0.005 0.005 0.985
Se4 0.753 0.753 0.264
Se5 0.241 0.241 0.724
Y2 0.005 0.005 0.505
K1 0.371 0.371 0.887
Y3 0.486 0.005 0.505
Se6 0.753 0.231 0.264
Se7 0.793 0.241 0.724
Y4 0.626 0.626 0.122
Se8 0.231 0.753 0.264

---

[9]
Density functional theory data (PBE) for an optimized crystal structure of K3PrY2Se6.

Lattice parameters (Å, degrees): 7.400 7.400 8.084 98.79 98.79 120.00
Atoms (fractional coordinates):
Pr1 0.000 0.000 0.000
K1 0.165 0.835 0.500
K2 0.500 0.500 0.500
Se1 0.412 0.069 0.208
Se2 0.727 0.727 0.208
Se3 0.588 0.931 0.792
Se4 0.273 0.273 0.792
Se5 0.931 0.588 0.792
Y1 0.667 0.333 0.000
K3 0.835 0.165 0.500
Y2 0.333 0.667 0.000
Se6 0.069 0.412 0.208

---

[10]
Density functional theory data (PBE) for an optimized crystal structure of K4PrY3Se8.

Lattice parameters (Å, degrees): 8.518 9.133 8.518 117.80 120.00 90.00
Atoms (fractional coordinates):
K1 0.500 0.000 0.500
Se1 0.240 0.708 0.480
Se2 0.735 0.704 0.470
Se3 0.240 0.708 0.968
Se4 0.265 0.296 0.530
K2 0.000 0.000 0.500
Se5 0.272 0.292 0.032
Se6 0.728 0.708 0.968
Y1 0.500 0.500 0.000
K3 0.000 0.000 0.000
Y2 0.500 0.500 0.500
K4 0.500 0.000 0.000
Se7 0.760 0.292 0.520
Se8 0.760 0.292 0.032
Y3 0.000 0.500 0.500
Pr1 0.000 0.500 0.000

---

[11]
Density functional theory data (PBE) for an optimized crystal structure of KPr2YSe4.

Lattice parameters (Å, degrees): 4.231 7.429 7.469 71.35 90.00 90.00
Atoms (fractional coordinates):
Pr1 0.500 0.000 0.500
Se1 0.500 0.258 0.736
Se2 0.000 0.755 0.734
Se3 0.500 0.742 0.264
Se4 0.000 0.245 0.266
Pr2 0.000 0.000 0.000
Y1 0.000 0.500 0.500
K1 0.500 0.500 0.000

---

[12]
Density functional theory data (PBE) for an optimized crystal structure of KPrY2Se4.

Lattice parameters (Å, degrees): 4.154 7.432 7.344 71.62 90.00 90.00
Atoms (fractional coordinates):
Se1 0.000 0.232 0.253
Se2 0.500 0.225 0.765
Y1 0.000 0.000 0.000
Se3 0.500 0.775 0.235
Se4 0.000 0.768 0.747
K1 0.000 0.500 0.500
Pr1 0.500 0.500 0.000
Y2 0.500 0.000 0.500

---

Table of V (Å³/cell), in record order: 474, 244, 248, 507, 367, 378, 293, 458, 365, 484, 222, 215
Table of DOS at the Fermi energy (states/eV per cell), in record order: 0.00, 0.00, 7.47, 5.71, 10.24, 9.58, 7.23, 0.00, 0.00, 0.00, 2.86, 2.76
Table of total energy (eV/atom), in record order: -4.8980, -4.9146, -5.5028, -5.4120, -5.6933, -5.3178, -5.8501, -6.0125, -5.2547, -5.2909, -5.6149, -5.8448